# 1
# LuCd

Crystalline LuCd at its relaxed geometry (GGA-PBE, Alexandria via LeMat-Bulk).

Cell lengths 3.5248, 4.8597, 6.1559 Å; angles 90.00, 106.41, 90.00 degrees
Closest atoms and distances in Å follow each position.
Space group P2_1/m (No. 11)
Asymmetric unit:
Lu 0.1629 0.2500 0.3272 (multiplicity 2)  7 Cd 3.10-3.31
Cd 0.4272 0.2500 0.8530 (multiplicity 2)  2 Cd 2.99, 7 Lu 3.10-3.31

Output
Formation energy in eV per atom: -0.242
Calculated density in Mg/m³: 9.44

# 2
# Er2Ni4P3Ru

Crystalline Er2Ni4P3Ru at its relaxed geometry (GGA-PBE, Alexandria via LeMat-Bulk).

Cell lengths 3.7972, 3.7972, 9.9646 Å; angles 90.00, 90.00, 90.00 degrees
Closest atoms and distances in Å follow each position.
Space group P-4m2 (No. 115)
Asymmetric unit:
Er 0.0000 0.5000 0.2423 (multiplicity 2)  8 Ni 2.88-3.07, 6 P 2.92-3.19, 2 Ru 3.19
Ni 0.0000 0.0000 0.0000 (multiplicity 1)  4 P 2.29
Ni 0.0000 0.5000 0.6522 (multiplicity 2)  3 P 2.19-2.43, 2 Ru 2.43
Ni 0.5000 0.5000 0.0000 (multiplicity 1)  4 P 2.29
P 0.0000 0.5000 0.8720 (multiplicity 2)  5 Ni 2.19-2.29
P 0.5000 0.5000 0.5000 (multiplicity 1)  4 Ni 2.43, 4 Ru 2.69
Ru 0.0000 0.0000 0.5000 (multiplicity 1)  4 Ni 2.43, 4 P 2.69

Output
Formation energy in eV per atom: -0.784
Calculated density in Mg/m³: 8.82

# 3
# Fe4Ni6Pt

Crystalline Fe4Ni6Pt at its relaxed geometry (GGA-PBE, Alexandria via LeMat-Bulk).

Cell lengths 7.8332, 7.8332, 2.5443 Å; angles 90.00, 90.00, 120.00 degrees
Closest atoms and distances in Å follow each position.
Space group P-6m2 (No. 187)
Asymmetric unit:
Fe 0.0000 0.0000 0.0000 (multiplicity 1)  9 Ni 2.40-2.46, 2 Fe 2.54
Fe 0.5130 0.0261 0.5000 (multiplicity 3)  6 Ni 2.43-2.46, 2 Fe 2.54
Ni 0.1548 0.3096 0.5000 (multiplicity 3)  4 Fe 2.43-2.46, 6 Ni 2.54-2.60
Ni 0.3537 0.1768 0.0000 (multiplicity 3)  5 Fe 2.40-2.46, 6 Ni 2.54-2.60
Pt 0.3333 0.6667 0.0000 (multiplicity 1)  2 Pt 2.54, 6 Ni 2.74, 6 Fe 2.75

Output
Formation energy in eV per atom: 0.053
Calculated density in Mg/m³: 9.46

# 4
# TeAuBr8

Crystalline TeAuBr8 at its relaxed geometry (GGA-PBE, Alexandria via LeMat-Bulk).

Cell lengths 8.5402, 9.3300, 10.9341 Å; angles 90.90, 108.18, 96.96 degrees
Closest atoms and distances in Å follow each position.
Space group P-1 (No. 2)
Asymmetric unit:
Te 0.1457 0.2478 0.2850 (multiplicity 2)  3 Br 2.54-2.55
Au 0.4963 0.6108 0.3183 (multiplicity 2)  4 Br 2.46-2.50
Br 0.0613 0.6834 0.9209 (multiplicity 2)  1 Te 2.54
Br 0.0705 0.7978 0.5996 (multiplicity 2)  1 Te 2.54
Br 0.1454 0.9884 0.2083 (multiplicity 2)  1 Te 2.55
Br 0.2438 0.5629 0.3885 (multiplicity 2)  1 Au 2.50
Br 0.2689 0.3266 0.7642 (multiplicity 2)  1 Au 2.46
Br 0.4159 0.1674 0.5348 (multiplicity 2)  1 Au 2.49
Br 0.4219 0.3839 0.1788 (multiplicity 2)  1 Au 2.49
Br 0.4364 0.0931 0.9367 (multiplicity 2)  1 Br 2.39

Output
Calculated density in Mg/m³: 3.90
VASP energy in eV/atom: -2.208

# 5
# Cs2MgSiBr6

Crystalline Cs2MgSiBr6 at its relaxed geometry (GGA-PBE, Alexandria via LeMat-Bulk).

Cell lengths 10.9956, 10.9956, 10.9956 Å; angles 90.00, 90.00, 90.00 degrees
Closest atoms and distances in Å follow each position.
Space group Fm-3m (No. 225)
Asymmetric unit:
Cs 0.2500 0.2500 0.2500 (multiplicity 8)  12 Br 3.89
Mg 0.0000 0.0000 0.0000 (multiplicity 4)  6 Br 2.73
Si 0.0000 0.0000 0.5000 (multiplicity 4)  6 Br 2.77
Br 0.0000 0.0000 0.2483 (multiplicity 24)  1 Mg 2.73, 1 Si 2.77

Output
Calculated density in Mg/m³: 3.99
VASP energy in eV/atom: -3.126

# 6
# TcSe2Cl

Crystalline TcSe2Cl at its relaxed geometry (GGA-PBE, Alexandria via LeMat-Bulk).

Cell lengths 6.5756, 6.5756, 6.5756 Å; angles 90.00, 90.00, 90.00 degrees
Closest atoms and distances in Å follow each position.
Space group Fm-3m (No. 225)
Asymmetric unit:
Tc 0.0000 0.0000 0.0000 (multiplicity 4)  8 Se 2.85
Se 0.2500 0.2500 0.2500 (multiplicity 8)  4 Cl 2.85, 4 Tc 2.85
Cl 0.0000 0.0000 0.5000 (multiplicity 4)  8 Se 2.85

Output
Polymorph energy (0 for the lowest one) in meV per atom: 747
Calculated density in Mg/m³: 6.81

# 7
# Sr2ScZn

Crystalline Sr2ScZn at its relaxed geometry (GGA-PBE, Alexandria via LeMat-Bulk).

Cell lengths 3.7948, 5.8146, 12.1576 Å; angles 90.00, 90.00, 90.00 degrees
Closest atoms and distances in Å follow each position.
Space group Imm2 (No. 44)
Asymmetric unit:
Sr 0.0000 0.0000 0.0000 (multiplicity 2)  2 Zn 3.37, 4 Sc 3.68
Sr 0.0000 0.5000 0.2037 (multiplicity 2)  4 Zn 3.49, 2 Sc 3.76, 4 Sr 3.79-3.82
Sc 0.0000 0.0000 0.3992 (multiplicity 2)  2 Zn 2.80
Zn 0.0000 0.5000 0.7295 (multiplicity 2)  2 Sc 2.80

Output
Formation energy in eV per atom: 0.065
Calculated density in Mg/m³: 3.54

# 8
# TaZn2Mo

Crystalline TaZn2Mo at its relaxed geometry (GGA-PBE, Alexandria via LeMat-Bulk).

Cell lengths 3.3875, 4.4171, 8.3553 Å; angles 90.00, 90.00, 90.00 degrees
Closest atoms and distances in Å follow each position.
Space group Imm2 (No. 44)
Asymmetric unit:
Ta 0.0000 0.0000 0.0000 (multiplicity 2)  2 Mo 2.69, 8 Zn 2.78-2.96
Zn 0.0000 0.0000 0.4907 (multiplicity 2)  2 Zn 2.54, 2 Mo 2.75, 4 Ta 2.78
Zn 0.0000 0.5000 0.7647 (multiplicity 2)  2 Zn 2.54, 2 Ta 2.79, 4 Mo 2.79
Mo 0.0000 0.5000 0.2500 (multiplicity 2)  2 Ta 2.69, 8 Zn 2.75-2.99

Output
Formation energy in eV per atom: 0.094
Polymorph energy (0 for the lowest one) in meV per atom: 81
Calculated density in Mg/m³: 10.83